No. 1
An optimized crystal structure of KMnP. Source: Alexandria via LeMat-Bulk, functional GGA-PBE.

Cell: 6.734 6.734 6.734 Å, 90.00 90.00 90.00°
Space group F-43m (No. 216)
Unique sites:
1 K 0.000 0.000 0.000 (multiplicity 4)
2 Mn 0.000 0.000 0.500 (multiplicity 4)
3 P 0.250 0.250 0.750 (multiplicity 4)

The uncorrected energy is -58.89 eV per cell. As for the energy relative to the elements: 1.0 eV/f.u.



No. 2
An optimized crystal structure of KMnP2. Source: Alexandria via LeMat-Bulk, functional GGA-PBE.

Cell: 6.775 6.775 6.775 Å, 90.00 90.00 90.00°
Space group F-43m (No. 216)
Unique sites:
1 K 0.000 0.000 0.000 (multiplicity 4)
2 Mn 0.250 0.250 0.250 (multiplicity 4)
3 P 0.000 0.000 0.500 (multiplicity 4)
4 P 0.250 0.250 0.750 (multiplicity 4)

The uncorrected energy is -72.01 eV per cell. The energy above the most stable polymorph in this dataset comes out at 1.0943 eV per atom. As for the energy relative to the elements: 3.1 eV/f.u.